Record 1
10
Lattice="-0.8604 0.0000 2.8153 -1.4391 -1.6367 -1.9789 10.7411 -13.4128 3.2825" Properties=species:S:1:pos:R:3 comment="CrHPd3, relaxed, DFT PBE" magmom_total_mub_per_fu=3.292 n_ef_per_ev_fu=3.31 total_energy_ev_per_cell=-56.535 pbc="T T T"
Cr 0.0000 0.0000 0.0000
Cr 5.3705 -6.7064 1.6413
Pd 2.6853 -3.3532 0.8206
Pd 8.0558 -10.0596 2.4619
Pd 8.2803 -12.9873 2.5305
Pd 5.3390 -9.3143 1.6316
Pd 3.1027 -5.7353 2.4873
Pd 0.1613 -2.0623 1.5884
H 6.8096 -11.1508 2.0810
H 1.6320 -3.8988 2.0378

---

Record 2
4
Lattice="4.4344 -0.1138 -0.0140 0.0537 4.4355 0.0140 -2.2362 -2.1691 3.1578" Properties=species:S:1:pos:R:3 comment="LiRe2Sb, relaxed, DFT PBE" magmom_total_mub_per_fu=0.419 raw_formation_energy_mev_per_atom=291 n_ef_per_ev_fu=3.68 pbc="T T T"
Li 0.0305 2.2134 1.5859
Re 0.0003 0.0003 0.0000
Re 2.2208 -0.0614 1.5719
Sb 2.2444 2.1612 0.0000

---

Record 3
10
Lattice="-4.0072 0.6621 1.4691 -0.9322 -7.5702 0.8693 6.7803 0.5321 11.9053" Properties=species:S:1:pos:R:3 comment="Cs2Te2Au, relaxed, DFT PBE" magmom_total_mub_per_fu=0.000 raw_formation_energy_mev_per_atom=-700 n_ef_per_ev_fu=2.98 pbc="T T T"
Cs 0.2871 -1.4215 1.4239
Cs 1.3339 -3.8008 5.3512
Cs 0.8873 0.5125 8.5379
Cs 1.6488 -4.1832 12.7312
Te -1.9406 -4.5666 3.1138
Te 1.7237 -0.0659 4.7312
Te 0.4883 -3.2969 9.1664
Te 3.9433 -0.4956 10.9790
Au -1.5119 -6.2878 5.0588
Au 3.0616 -2.4536 9.4565